Li2CeCd4 | Alexandria via LeMat-Bulk | PBE-GGA | relaxed; crystal system = orthorhombic; energy = -2.1114 eV/atom; V = 22.14 Å³ per atom; M_tot = 1.14 μB/f.u.; calculated formation energy = -193.9 meV/atom; DOS at the Fermi energy = 7.37 states/eV/cell; symmetry = Immm, No. 71
1.0
-1.5550 2.5093 9.9305
1.5550 -2.5093 9.9305
1.5550 2.5093 -9.9305
Li Ce Cd
2 1 4
direct
0.2019 0.2019 0.0000
0.7981 0.7981 0.0000
0.5000 0.0000 0.5000
0.0773 0.5773 0.5000
0.3428 0.3428 0.0000
0.6572 0.6572 0.0000
0.9227 0.4227 0.5000

Li2CeCd | Alexandria via LeMat-Bulk | PBE-GGA | relaxed; crystal system = trigonal; energy = -2.6208 eV/atom; V = 21.76 Å³ per atom; M_tot = 0.01 μB/f.u.; calculated formation energy = 48.3 meV/atom; DOS at the Fermi energy = 5.17 states/eV/cell; relative energy among the computed polymorphs = 47.2 meV/atom; symmetry = R-3m, No. 166
1.0
1.5153 0.8749 10.9453
-1.5153 0.8749 10.9453
0.0000 -1.7497 10.9453
Li Ce Cd
2 1 1
direct
0.0932 0.0932 0.0932
0.9068 0.9068 0.9068
0.0000 0.0000 0.0000
0.5000 0.5000 0.5000

LiCeCd2 | Alexandria via LeMat-Bulk | PBE-GGA | relaxed; crystal system = tetragonal; energy = -2.6276 eV/atom; V = 21.59 Å³ per atom; M_tot = 0.58 μB/f.u.; calculated formation energy = -208.1 meV/atom; DOS at the Fermi energy = 5.32 states/eV/cell; symmetry = P4/mmm, No. 123
1.0
3.1867 0.0000 0.0000
0.0000 3.1867 0.0000
0.0000 0.0000 8.5056
Li Ce Cd
1 1 2
direct
0.0000 0.0000 0.0000
0.0000 0.0000 0.5000
0.5000 0.5000 0.2073
0.5000 0.5000 0.7927

LiCe2Cd3 | Alexandria via LeMat-Bulk | PBE-GGA | relaxed; crystal system = monoclinic; energy = -2.9552 eV/atom; V = 24.10 Å³ per atom; M_tot = 1.94 μB/f.u.; calculated formation energy = -200.7 meV/atom; DOS at the Fermi energy = 22.12 states/eV/cell; symmetry = C2/c, No. 15
1.0
4.0767 -4.4423 0.0000
4.0767 4.4423 0.0000
-1.7597 0.0000 7.9850
Li Ce Cd
2 4 6
direct
0.0875 0.9125 0.7500
0.9125 0.0875 0.2500
0.1419 0.6392 0.3590
0.3608 0.8581 0.1410
0.6392 0.1419 0.8590
0.8581 0.3608 0.6410
0.1738 0.3173 0.9950
0.3173 0.1738 0.4950
0.4020 0.5980 0.7500
0.5980 0.4020 0.2500
0.6827 0.8262 0.5050
0.8262 0.6827 0.0050

LiCeCd3 | Alexandria via LeMat-Bulk | PBE-GGA | relaxed; crystal system = tetragonal; energy = -2.2171 eV/atom; V = 24.05 Å³ per atom; M_tot = 1.38 μB/f.u.; calculated formation energy = -98.5 meV/atom; DOS at the Fermi energy = 22.10 states/eV/cell; symmetry = P4/nmm, No. 129
1.0
6.4858 0.0000 0.0000
0.0000 6.4858 0.0000
0.0000 0.0000 5.7163
Li Ce Cd
2 2 6
direct
0.2500 0.2500 0.2452
0.7500 0.7500 0.7548
0.2500 0.7500 0.5000
0.7500 0.2500 0.5000
0.0000 0.0000 0.0000
0.0000 0.5000 0.0000
0.2500 0.2500 0.6872
0.5000 0.0000 0.0000
0.5000 0.5000 0.0000
0.7500 0.7500 0.3128

Li2CeCd | Alexandria via LeMat-Bulk | PBE-GGA | relaxed; crystal system = tetragonal; energy = -2.6681 eV/atom; V = 21.14 Å³ per atom; M_tot = 0.59 μB/f.u.; calculated formation energy = 1.1 meV/atom; DOS at the Fermi energy = 6.25 states/eV/cell; relative energy among the computed polymorphs = 0.0 meV/atom; symmetry = P4/mmm, No. 123
1.0
3.0283 0.0000 0.0000
0.0000 3.0283 0.0000
0.0000 0.0000 9.2194
Li Ce Cd
2 1 1
direct
0.0000 0.0000 0.2089
0.0000 0.0000 0.7911
0.5000 0.5000 0.5000
0.5000 0.5000 0.0000

LiCe2Cd6 | Alexandria via LeMat-Bulk | PBE-GGA | relaxed; crystal system = hexagonal; energy = -2.3561 eV/atom; V = 23.85 Å³ per atom; M_tot = 2.53 μB/f.u.; calculated formation energy = -214.7 meV/atom; DOS at the Fermi energy = 13.75 states/eV/cell; symmetry = P6/mmm, No. 191
1.0
8.8595 0.0000 0.0000
-4.4297 7.6725 0.0000
0.0000 0.0000 3.1583
Li Ce Cd
1 2 6
direct
0.0000 0.0000 0.0000
0.3333 0.6667 0.0000
0.6667 0.3333 0.0000
0.0000 0.3253 0.5000
0.0000 0.6747 0.5000
0.3253 0.0000 0.5000
0.3253 0.3253 0.5000
0.6747 0.0000 0.5000
0.6747 0.6747 0.5000

LiCeCd4 | Alexandria via LeMat-Bulk | PBE-GGA | relaxed; crystal system = monoclinic; energy = -2.1168 eV/atom; V = 23.18 Å³ per atom; M_tot = 1.13 μB/f.u.; calculated formation energy = -198.7 meV/atom; DOS at the Fermi energy = 7.41 states/eV/cell; relative energy among the computed polymorphs = 0.0 meV/atom; symmetry = P2/m, No. 10
1.0
3.1162 0.0000 0.0000
0.0000 5.0258 0.0000
-0.0745 0.0000 8.8806
Li Ce Cd
1 1 4
direct
0.0000 0.0000 0.0000
0.0000 0.5000 0.5000
0.4895 0.5000 0.1576
0.4964 0.0000 0.3214
0.5036 0.0000 0.6786
0.5105 0.5000 0.8424